Record 1
DFT (PBE-GGA) results for NaCd3SnHg2 after structural relaxation.

Results
The calculation puts the calculated formation energy at 98 kJ/mol of formula units. Its space-group type is No. 71.

Lattice parameters (Å, degrees): 5.610 5.906 14.577 90.00 90.00 90.00
Atoms (fractional coordinates):
Na  0.000  0.000  0.000
Na  0.500  0.500  0.500
Cd  0.000  0.000  0.500
Cd  0.000  0.500  0.199
Cd  0.000  0.500  0.801
Cd  0.500  0.000  0.301
Cd  0.500  0.000  0.699
Cd  0.500  0.500  0.000
Sn  0.000  0.500  0.000
Sn  0.500  0.000  0.500
Hg  0.000  0.500  0.394
Hg  0.000  0.500  0.606
Hg  0.500  0.000  0.106
Hg  0.500  0.000  0.894

Record 2
DFT (PBE-GGA) results for Na3Cd4Sn2Hg2 after structural relaxation.

Results
The calculation puts the calculated formation energy at 39 kJ/mol of formula units. Its space-group type is No. 139.

Lattice parameters (Å, degrees): 11.808 11.808 11.808 151.41 151.41 40.88
Atoms (fractional coordinates):
Na  0.000  0.000  0.000
Na  0.155  0.155  0.000
Na  0.845  0.845  0.000
Cd  0.069  0.569  0.500
Cd  0.431  0.931  0.500
Cd  0.569  0.069  0.500
Cd  0.931  0.431  0.500
Sn  0.432  0.432  0.000
Sn  0.568  0.568  0.000
Hg  0.291  0.291  0.000
Hg  0.709  0.709  0.000

Record 3
DFT (PBE-GGA) results for NaSrCd2Hg2 after structural relaxation.

Results
The calculation puts the calculated formation energy at -182 kJ/mol of formula units. Its space-group type is No. 164.

Lattice parameters (Å, degrees): 5.072 5.072 7.319 90.00 90.00 120.00
Atoms (fractional coordinates):
Na  0.000  0.000  0.000
Sr  0.000  0.000  0.500
Cd  0.333  0.667  0.792
Cd  0.667  0.333  0.208
Hg  0.333  0.667  0.235
Hg  0.667  0.333  0.765

Record 4
DFT (PBE-GGA) results for Na2SrCdHg2 after structural relaxation.

Results
The calculation puts the calculated formation energy at -169 kJ/mol of formula units. Its space-group type is No. 26.

Lattice parameters (Å, degrees): 4.430 9.912 8.111 90.00 90.00 90.00
Atoms (fractional coordinates):
Na  0.000  0.075  0.000
Na  0.000  0.925  0.500
Na  0.500  0.171  0.327
Na  0.500  0.829  0.827
Sr  0.500  0.424  0.912
Sr  0.500  0.576  0.412
Cd  0.000  0.317  0.589
Cd  0.000  0.683  0.089
Hg  0.000  0.370  0.215
Hg  0.000  0.630  0.715
Hg  0.500  0.125  0.710
Hg  0.500  0.875  0.210

Record 5
DFT (PBE-GGA) results for Na2SrCdHg4 after structural relaxation.

Results
The calculation puts the calculated formation energy at -209 kJ/mol of formula units. Its space-group type is No. 166.

Lattice parameters (Å, degrees): 9.700 9.700 9.700 31.24 31.24 31.24
Atoms (fractional coordinates):
Na  0.238  0.238  0.238
Na  0.762  0.762  0.762
Sr  0.000  0.000  0.000
Cd  0.500  0.500  0.500
Hg  0.122  0.122  0.122
Hg  0.388  0.388  0.388
Hg  0.612  0.612  0.612
Hg  0.878  0.878  0.878

Record 6
DFT (PBE-GGA) results for NaSr2CdHg4 after structural relaxation.

Results
The calculation puts the calculated formation energy at -294 kJ/mol of formula units. Its space-group type is No. 166.

Lattice parameters (Å, degrees): 9.319 9.319 9.319 34.01 34.01 34.01
Atoms (fractional coordinates):
Na  0.000  0.000  0.000
Sr  0.246  0.246  0.246
Sr  0.754  0.754  0.754
Cd  0.500  0.500  0.500
Hg  0.121  0.121  0.121
Hg  0.375  0.375  0.375
Hg  0.625  0.625  0.625
Hg  0.879  0.879  0.879

Record 7
DFT (PBE-GGA) results for Na2SrCd2Hg2 after structural relaxation.

Results
The calculation puts the calculated formation energy at -174 kJ/mol of formula units. Its space-group type is No. 166.

Lattice parameters (Å, degrees): 9.587 9.587 9.587 30.57 30.57 30.57
Atoms (fractional coordinates):
Na  0.134  0.134  0.134
Na  0.866  0.866  0.866
Sr  0.000  0.000  0.000
Cd  0.259  0.259  0.259
Cd  0.741  0.741  0.741
Hg  0.406  0.406  0.406
Hg  0.594  0.594  0.594

Record 8
DFT (PBE-GGA) results for NaTbCdHg after structural relaxation.

Results
The calculation puts the calculated formation energy at -94 kJ/mol of formula units. Its space-group type is No. 216.

Lattice parameters (Å, degrees): 7.360 7.360 7.360 90.00 90.00 90.00
Atoms (fractional coordinates):
Na  0.000  0.000  0.000
Na  0.000  0.500  0.500
Na  0.500  0.000  0.500
Na  0.500  0.500  0.000
Tb  0.000  0.000  0.500
Tb  0.000  0.500  0.000
Tb  0.500  0.000  0.000
Tb  0.500  0.500  0.500
Cd  0.250  0.250  0.750
Cd  0.250  0.750  0.250
Cd  0.750  0.250  0.250
Cd  0.750  0.750  0.750
Hg  0.250  0.250  0.250
Hg  0.250  0.750  0.750
Hg  0.750  0.250  0.750
Hg  0.750  0.750  0.250

Record 9
DFT (PBE-GGA) results for NaTbCd2Hg4 after structural relaxation.

Results
The calculation puts the calculated formation energy at -196 kJ/mol of formula units. Its space-group type is No. 166.

Lattice parameters (Å, degrees): 8.932 8.932 8.932 33.01 33.01 33.01
Atoms (fractional coordinates):
Na  0.000  0.000  0.000
Tb  0.500  0.500  0.500
Cd  0.250  0.250  0.250
Cd  0.750  0.750  0.750
Hg  0.123  0.123  0.123
Hg  0.374  0.374  0.374
Hg  0.626  0.626  0.626
Hg  0.877  0.877  0.877

Record 10
DFT (PBE-GGA) results for NaCdHgTe after structural relaxation.

Results
The raw formation energy is -0.2942 eV/atom. Its space-group type is No. 216.

Lattice parameters (Å, degrees): 7.598 7.598 7.598 90.00 90.00 90.00
Atoms (fractional coordinates):
Na  0.000  0.000  0.000
Na  0.000  0.500  0.500
Na  0.500  0.000  0.500
Na  0.500  0.500  0.000
Cd  0.000  0.000  0.500
Cd  0.000  0.500  0.000
Cd  0.500  0.000  0.000
Cd  0.500  0.500  0.500
Hg  0.250  0.250  0.750
Hg  0.250  0.750  0.250
Hg  0.750  0.250  0.250
Hg  0.750  0.750  0.750
Te  0.250  0.250  0.250
Te  0.250  0.750  0.750
Te  0.750  0.250  0.750
Te  0.750  0.750  0.250

Record 11
DFT (PBE-GGA) results for Na3TlCd3Hg2 after structural relaxation.

Results
The calculation puts the calculated formation energy at -133 kJ/mol of formula units. Its space-group type is No. 189.

Lattice parameters (Å, degrees): 8.843 8.843 3.363 90.00 90.00 120.00
Atoms (fractional coordinates):
Na  0.000  0.367  0.000
Na  0.367  0.000  0.000
Na  0.633  0.633  0.000
Tl  0.000  0.000  0.000
Cd  0.000  0.687  0.500
Cd  0.313  0.313  0.500
Cd  0.687  0.000  0.500
Hg  0.333  0.667  0.500
Hg  0.667  0.333  0.500

Record 12
DFT (PBE-GGA) results for Na4Tl2CdHg2 after structural relaxation.

Results
The calculation puts the calculated formation energy at -110 kJ/mol of formula units. Its space-group type is No. 2.

Lattice parameters (Å, degrees): 6.272 6.740 7.209 105.21 91.82 116.78
Atoms (fractional coordinates):
Na  0.179  0.361  0.363
Na  0.315  0.237  0.810
Na  0.685  0.763  0.190
Na  0.821  0.639  0.637
Tl  0.409  0.784  0.806
Tl  0.591  0.216  0.194
Cd  0.000  0.500  0.000
Hg  0.216  0.880  0.395
Hg  0.784  0.120  0.605

Record 13
DFT (PBE-GGA) results for Na2Tl2CdHg4 after structural relaxation.

Results
The calculation puts the calculated formation energy at -36 kJ/mol of formula units. Its space-group type is No. 139.

Lattice parameters (Å, degrees): 7.227 7.227 7.227 121.40 121.40 87.59
Atoms (fractional coordinates):
Na  0.217  0.217  0.000
Na  0.783  0.783  0.000
Tl  0.250  0.750  0.500
Tl  0.750  0.250  0.500
Cd  0.500  0.500  0.000
Hg  0.218  0.218  0.436
Hg  0.218  0.782  0.000
Hg  0.782  0.218  0.000
Hg  0.782  0.782  0.564

Record 14
DFT (PBE-GGA) results for Na3Tl2Cd3Hg after structural relaxation.

Results
The calculation puts the calculated formation energy at -93 kJ/mol of formula units. Its space-group type is No. 189.

Lattice parameters (Å, degrees): 8.922 8.922 3.393 90.00 90.00 120.00
Atoms (fractional coordinates):
Na  0.000  0.705  0.000
Na  0.295  0.295  0.000
Na  0.705  0.000  0.000
Tl  0.333  0.667  0.000
Tl  0.667  0.333  0.000
Cd  0.000  0.355  0.500
Cd  0.355  0.000  0.500
Cd  0.645  0.645  0.500
Hg  0.000  0.000  0.500

Record 15
DFT (PBE-GGA) results for NaTlCdHg after structural relaxation.

Results
The calculation puts the calculated formation energy at -39 kJ/mol of formula units. Its space-group type is No. 216.

Lattice parameters (Å, degrees): 7.420 7.420 7.420 90.00 90.00 90.00
Atoms (fractional coordinates):
Na  0.000  0.000  0.000
Na  0.000  0.500  0.500
Na  0.500  0.000  0.500
Na  0.500  0.500  0.000
Tl  0.250  0.250  0.750
Tl  0.250  0.750  0.250
Tl  0.750  0.250  0.250
Tl  0.750  0.750  0.750
Cd  0.000  0.000  0.500
Cd  0.000  0.500  0.000
Cd  0.500  0.000  0.000
Cd  0.500  0.500  0.500
Hg  0.250  0.250  0.250
Hg  0.250  0.750  0.750
Hg  0.750  0.250  0.750
Hg  0.750  0.750  0.250

Record 16
DFT (PBE-GGA) results for NaTlCd2Hg4 after structural relaxation.

Results
The calculation puts the calculated formation energy at -65 kJ/mol of formula units. Its space-group type is No. 166.

Lattice parameters (Å, degrees): 9.333 9.333 9.333 32.25 32.25 32.25
Atoms (fractional coordinates):
Na  0.000  0.000  0.000
Tl  0.500  0.500  0.500
Cd  0.251  0.251  0.251
Cd  0.749  0.749  0.749
Hg  0.120  0.120  0.120
Hg  0.373  0.373  0.373
Hg  0.627  0.627  0.627
Hg  0.880  0.880  0.880

Record 17
DFT (PBE-GGA) results for Na5TlCdHg2 after structural relaxation.

Results
The calculation puts the calculated formation energy at -80 kJ/mol of formula units. Its space-group type is No. 140.

Lattice parameters (Å, degrees): 10.385 10.385 10.385 135.72 135.72 64.42
Atoms (fractional coordinates):
Na  0.000  0.000  0.000
Na  0.080  0.580  0.939
Na  0.140  0.080  0.500
Na  0.360  0.860  0.939
Na  0.420  0.360  0.500
Na  0.500  0.500  0.000
Na  0.580  0.640  0.500
Na  0.640  0.140  0.061
Na  0.860  0.920  0.500
Na  0.920  0.420  0.061
Tl  0.250  0.750  0.500
Tl  0.750  0.250  0.500
Cd  0.250  0.250  0.000
Cd  0.750  0.750  0.000
Hg  0.127  0.373  0.500
Hg  0.373  0.873  0.246
Hg  0.627  0.127  0.754
Hg  0.873  0.627  0.500

Record 18
DFT (PBE-GGA) results for NaTl2Cd4Hg2 after structural relaxation.

Results
The calculation puts the calculated formation energy at 11 kJ/mol of formula units. Its space-group type is No. 156.

Lattice parameters (Å, degrees): 3.459 3.459 22.678 90.00 90.00 120.00
Atoms (fractional coordinates):
Na  0.000  0.000  0.000
Tl  0.667  0.333  0.121
Tl  0.667  0.333  0.882
Cd  0.000  0.000  0.234
Cd  0.000  0.000  0.440
Cd  0.667  0.333  0.544
Cd  0.667  0.333  0.753
Hg  0.000  0.000  0.648
Hg  0.667  0.333  0.338

Record 19
DFT (PBE-GGA) results for NaTlCd2Hg after structural relaxation.

Results
The calculation puts the calculated formation energy at -14 kJ/mol of formula units. Its space-group type is No. 63.

Lattice parameters (Å, degrees): 6.140 6.140 9.221 90.00 90.00 129.12
Atoms (fractional coordinates):
Na  0.174  0.826  0.750
Na  0.826  0.174  0.250
Tl  0.466  0.534  0.750
Tl  0.534  0.466  0.250
Cd  0.260  0.740  0.083
Cd  0.260  0.740  0.417
Cd  0.740  0.260  0.583
Cd  0.740  0.260  0.917
Hg  0.000  0.000  0.000
Hg  0.000  0.000  0.500

Record 20
DFT (PBE-GGA) results for Na6Tl2CdHg after structural relaxation.

Results
The calculation puts the calculated formation energy at -64 kJ/mol of formula units. Its space-group type is No. 15.

Lattice parameters (Å, degrees): 8.280 8.280 10.016 102.56 102.56 103.58
Atoms (fractional coordinates):
Na  0.009  0.494  0.263
Na  0.040  0.828  0.559
Na  0.172  0.960  0.941
Na  0.311  0.537  0.058
Na  0.463  0.689  0.442
Na  0.494  0.009  0.763
Na  0.506  0.991  0.237
Na  0.537  0.311  0.558
Na  0.689  0.463  0.942
Na  0.828  0.040  0.059
Na  0.960  0.172  0.441
Na  0.991  0.506  0.737
Tl  0.250  0.251  0.253
Tl  0.251  0.250  0.753
Tl  0.749  0.750  0.247
Tl  0.750  0.749  0.747
Cd  0.380  0.620  0.750
Cd  0.620  0.380  0.250
Hg  0.132  0.868  0.250
Hg  0.868  0.132  0.750

Record 21
DFT (PBE-GGA) results for NaTl2Cd2Hg7 after structural relaxation.

Results
The calculation puts the calculated formation energy at -50 kJ/mol of formula units. Its space-group type is No. 12.

Lattice parameters (Å, degrees): 4.504 4.504 16.400 97.18 97.18 90.23
Atoms (fractional coordinates):
Na  0.000  0.000  0.000
Tl  0.163  0.163  0.332
Tl  0.837  0.837  0.668
Cd  0.359  0.359  0.713
Cd  0.641  0.641  0.287
Hg  0.077  0.575  0.150
Hg  0.264  0.264  0.528
Hg  0.425  0.923  0.850
Hg  0.500  0.500  0.000
Hg  0.575  0.077  0.150
Hg  0.736  0.736  0.472
Hg  0.923  0.425  0.850

Record 22
DFT (PBE-GGA) results for NaTlCdHg after structural relaxation.

Results
The calculation puts the calculated formation energy at -40 kJ/mol of formula units. Its space-group type is No. 129.

Lattice parameters (Å, degrees): 4.625 4.625 9.732 90.00 90.00 90.00
Atoms (fractional coordinates):
Na  0.250  0.250  0.243
Na  0.750  0.750  0.757
Tl  0.250  0.750  0.500
Tl  0.750  0.250  0.500
Cd  0.250  0.750  0.000
Cd  0.750  0.250  0.000
Hg  0.250  0.250  0.777
Hg  0.750  0.750  0.223

Record 23
DFT (PBE-GGA) results for Na3TlCd2Hg3 after structural relaxation.

Results
The calculation puts the calculated formation energy at -102 kJ/mol of formula units. Its space-group type is No. 189.

Lattice parameters (Å, degrees): 8.926 8.926 3.316 90.00 90.00 120.00
Atoms (fractional coordinates):
Na  0.000  0.692  0.000
Na  0.308  0.308  0.000
Na  0.692  0.000  0.000
Tl  0.000  0.000  0.500
Cd  0.333  0.667  0.000
Cd  0.667  0.333  0.000
Hg  0.000  0.359  0.500
Hg  0.359  0.000  0.500
Hg  0.641  0.641  0.500

Computed volume, in the same sequence as the records: 482.93 376.23 163.06 356.09 217.80 225.73 202.06 398.75 188.17 438.62 227.73 258.51 261.04 233.90 408.49 205.72 538.43 234.99 269.69 624.84 327.48 208.14 228.83 Å³/cell.
Computed total DFT energy (no corrections), in the same sequence as the records: -7.656 -15.818 -7.323 -7.591 -8.612 -9.849 -8.561 -8.143 -11.021 -6.854 -11.048 -12.667 -9.870 -12.699 -5.307 -7.394 -11.313 -10.204 -5.963 -14.531 -10.515 -5.317 -10.112 eV per formula unit.